(1)
Computed, not measured: crystalline Nd3AuSeCl at its relaxed geometry at the PBE level of DFT.

Geometry as extended XYZ:
```
12
Lattice="8.0503 0.0000 0.0000 0.0000 4.0572 0.0000 -3.4752 0.0000 10.0862" Properties=species:S:1:pos:R:3 pbc="T T T"
Nd -0.7108 1.0143 2.7983
Nd 1.7960 1.0143 0.3211
Nd 1.0754 3.0429 6.0130
Nd 3.4997 1.0143 4.0732
Nd 2.7791 3.0429 9.7651
Nd 5.2859 3.0429 7.2878
Au -1.1091 1.0143 5.8240
Au 5.6842 3.0429 4.2622
Se 1.6533 3.0429 2.7530
Se 2.9218 1.0143 7.3332
Cl -0.1786 3.0429 8.8882
Cl 4.7537 1.0143 1.1979
```

The volume is 27.453 Å³/atom. The symmetry is P2_1/m. For the total DFT energy (no corrections), the calculation gives -5.0206 eV/atom. The calculation puts the magnetization at 0.000 Bohr magnetons per cell. The density of states at the Fermi level is 4.66 states/eV/f.u. For the uncorrected formation energy, the calculation gives -1.2019 eV per atom.


(2)
Computed, not measured: crystalline NiAuCl2 at its relaxed geometry at the PBE level of DFT.

Geometry as extended XYZ:
```
4
Lattice="3.5392 -3.5953 0.0000 3.5392 3.5953 0.0000 -0.1165 0.0000 3.3913" Properties=species:S:1:pos:R:3 pbc="T T T"
Ni 0.0000 0.0000 0.0000
Au 3.5392 0.0000 0.0000
Cl 1.7696 1.7976 0.0000
Cl 1.7696 -1.7976 0.0000
```

The volume is 21.576 Å³/atom. The symmetry is C2/m. For the total DFT energy (no corrections), the calculation gives -2.9690 eV/atom. The excess energy over the best structure of this formula in the dataset comes out at 378 meV/atom. The calculation puts the magnetization at 0.967 Bohr magnetons per cell. The density of states at the Fermi level is 3.21 states/eV/f.u. For the uncorrected formation energy, the calculation gives 0.2190 eV per atom.


(3)
Computed, not measured: crystalline NiAuCl2 at its relaxed geometry at the PBE level of DFT.

Geometry as extended XYZ:
```
4
Lattice="-1.6257 2.2840 6.3087 1.6257 -2.2840 6.3087 1.6257 2.2840 -6.3087" Properties=species:S:1:pos:R:3 pbc="T T T"
Ni 0.0000 0.0000 0.0000
Au 0.0000 0.0000 6.3087
Cl 1.6257 0.0000 1.6615
Cl 0.0000 2.2840 4.6472
```

The volume is 23.424 Å³/atom. The symmetry is Immm. For the total DFT energy (no corrections), the calculation gives -3.3021 eV/atom. The excess energy over the best structure of this formula in the dataset comes out at 45 meV/atom. The calculation puts the magnetization at 1.013 Bohr magnetons per cell. For the uncorrected formation energy, the calculation gives -0.1141 eV per atom.


(4)
Computed, not measured: crystalline NiAuCl2 at its relaxed geometry at the PBE level of DFT.

Geometry as extended XYZ:
```
4
Lattice="1.7864 -3.2453 0.0000 1.7864 3.2453 0.0000 0.0000 0.0000 8.0545" Properties=species:S:1:pos:R:3 pbc="T T T"
Ni 0.0000 0.0000 0.0000
Au 1.7864 0.0000 6.2769
Cl 0.0000 0.0000 4.5966
Cl 1.7864 0.0000 1.2078
```

The volume is 23.348 Å³/atom. The symmetry is Cmm2. For the total DFT energy (no corrections), the calculation gives -3.2487 eV/atom. The excess energy over the best structure of this formula in the dataset comes out at 99 meV/atom. The calculation puts the magnetization at 0.558 Bohr magnetons per cell. The density of states at the Fermi level is 5.31 states/eV/f.u. For the uncorrected formation energy, the calculation gives -0.0607 eV per atom.


(5)
Computed, not measured: crystalline Ni2AuCl at its relaxed geometry at the PBE level of DFT.

Geometry as extended XYZ:
```
4
Lattice="3.2064 -3.2052 0.0000 3.2064 3.2052 0.0000 -0.0060 0.0000 2.8634" Properties=species:S:1:pos:R:3 pbc="T T T"
Ni 1.6032 1.6026 0.0000
Ni 1.6032 -1.6026 0.0000
Au -0.0030 0.0000 1.4317
Cl 3.2034 0.0000 1.4317
```

The volume is 14.714 Å³/atom. The symmetry is C2/m. For the total DFT energy (no corrections), the calculation gives -3.7519 eV/atom. The excess energy over the best structure of this formula in the dataset comes out at 296 meV/atom. The calculation puts the magnetization at 0.575 Bohr magnetons per cell. The density of states at the Fermi level is 5.75 states/eV/f.u. For the uncorrected formation energy, the calculation gives 0.4198 eV per atom.


(6)
Computed, not measured: crystalline NiAuCl2 at its relaxed geometry at the PBE level of DFT.

Geometry as extended XYZ:
```
4
Lattice="2.9628 0.0000 0.0000 0.0000 2.9628 0.0000 0.0000 0.0000 10.0092" Properties=species:S:1:pos:R:3 pbc="T T T"
Ni 0.0000 0.0000 0.0000
Au 0.0000 0.0000 5.0046
Cl 1.4814 1.4814 1.4896
Cl 1.4814 1.4814 8.5196
```

The volume is 21.966 Å³/atom. The symmetry is P4/mmm. For the total DFT energy (no corrections), the calculation gives -2.9380 eV/atom. The excess energy over the best structure of this formula in the dataset comes out at 409 meV/atom. The calculation puts the magnetization at 1.980 Bohr magnetons per cell. The density of states at the Fermi level is 2.91 states/eV/f.u. For the uncorrected formation energy, the calculation gives 0.2500 eV per atom.


(7)
Computed, not measured: crystalline Ni2AuCl at its relaxed geometry at the PBE level of DFT.

Geometry as extended XYZ:
```
4
Lattice="3.1086 0.0000 0.0000 0.0000 3.1086 0.0000 0.0000 0.0000 6.8533" Properties=species:S:1:pos:R:3 pbc="T T T"
Ni 0.0000 0.0000 0.0000
Ni 1.5543 1.5543 1.2127
Au 0.0000 0.0000 2.7156
Cl 1.5543 1.5543 5.7133
```

The volume is 16.557 Å³/atom. The symmetry is P4mm. For the total DFT energy (no corrections), the calculation gives -3.9830 eV/atom. The excess energy over the best structure of this formula in the dataset comes out at 64 meV/atom. The calculation puts the magnetization at 1.595 Bohr magnetons per cell. The density of states at the Fermi level is 4.16 states/eV/f.u. For the uncorrected formation energy, the calculation gives 0.1887 eV per atom.


(8)
Computed, not measured: crystalline NiAuCl2 at its relaxed geometry at the PBE level of DFT.

Geometry as extended XYZ:
```
4
Lattice="0.0000 3.3052 3.3052 3.3052 0.0000 3.3052 3.3052 3.3052 0.0000" Properties=species:S:1:pos:R:3 pbc="T T T"
Ni 0.0000 0.0000 0.0000
Au 4.9577 4.9577 4.9577
Cl 1.6526 1.6526 1.6526
Cl 3.3052 3.3052 3.3052
```

The volume is 18.053 Å³/atom. The symmetry is F-43m. For the total DFT energy (no corrections), the calculation gives -2.6115 eV/atom. The excess energy over the best structure of this formula in the dataset comes out at 736 meV/atom. The calculation puts the magnetization at 1.154 Bohr magnetons per cell. The density of states at the Fermi level is 5.47 states/eV/f.u. For the uncorrected formation energy, the calculation gives 0.5765 eV per atom.


(9)
Computed, not measured: crystalline NiAuCl3 at its relaxed geometry at the PBE level of DFT.

Geometry as extended XYZ:
```
5
Lattice="4.6460 0.0000 0.0000 0.0000 4.6460 0.0000 0.0000 0.0000 4.6460" Properties=species:S:1:pos:R:3 pbc="T T T"
Ni 0.0000 0.0000 0.0000
Au 2.3230 2.3230 2.3230
Cl 0.0000 0.0000 2.3230
Cl 0.0000 2.3230 0.0000
Cl 2.3230 0.0000 0.0000
```

The volume is 20.057 Å³/atom. The symmetry is Pm-3m. For the total DFT energy (no corrections), the calculation gives -2.9098 eV/atom. The excess energy over the best structure of this formula in the dataset comes out at 0 meV/atom. The calculation puts the magnetization at 0.000 Bohr magnetons per cell. The density of states at the Fermi level is 1.84 states/eV/f.u. For the uncorrected formation energy, the calculation gives 0.0099 eV per atom.


(10)
Computed, not measured: crystalline NiAuCl at its relaxed geometry at the PBE level of DFT.

Geometry as extended XYZ:
```
3
Lattice="0.0000 2.6650 6.3229 1.6001 0.0000 6.3229 1.6001 2.6650 0.0000" Properties=species:S:1:pos:R:3 pbc="T T T"
Ni 0.0000 0.0000 0.0000
Au 1.6001 2.6650 8.3035
Cl 1.6001 2.6650 4.7920
```

The volume is 17.975 Å³/atom. The symmetry is Fmm2. For the total DFT energy (no corrections), the calculation gives -3.5050 eV/atom. The excess energy over the best structure of this formula in the dataset comes out at 115 meV/atom. The calculation puts the magnetization at 0.775 Bohr magnetons per cell. The density of states at the Fermi level is 2.65 states/eV/f.u. For the uncorrected formation energy, the calculation gives 0.1301 eV per atom.


(11)
Computed, not measured: crystalline Ni2AuCl at its relaxed geometry at the PBE level of DFT.

Geometry as extended XYZ:
```
4
Lattice="0.0000 3.1039 3.1039 3.1039 0.0000 3.1039 3.1039 3.1039 0.0000" Properties=species:S:1:pos:R:3 pbc="T T T"
Ni 1.5520 1.5520 1.5520
Ni 4.6559 4.6559 4.6559
Au 0.0000 0.0000 0.0000
Cl 3.1039 3.1039 3.1039
```

The volume is 14.952 Å³/atom. The symmetry is Fm-3m. For the total DFT energy (no corrections), the calculation gives -3.6567 eV/atom. The excess energy over the best structure of this formula in the dataset comes out at 391 meV/atom. The calculation puts the magnetization at 1.233 Bohr magnetons per cell. The density of states at the Fermi level is 4.89 states/eV/f.u. For the uncorrected formation energy, the calculation gives 0.5150 eV per atom.


(12)
Computed, not measured: crystalline NiAuCl2 at its relaxed geometry at the PBE level of DFT.

Geometry as extended XYZ:
```
4
Lattice="4.8722 -1.6498 0.0000 4.8722 1.6498 0.0000 -3.3247 0.0000 6.1097" Properties=species:S:1:pos:R:3 pbc="T T T"
Ni 0.0000 0.0000 0.0000
Au 2.4087 0.0000 0.6535
Cl 1.9059 0.0000 4.6169
Cl 4.6164 0.0000 1.6705
```

The volume is 24.556 Å³/atom. The symmetry is Cm. For the total DFT energy (no corrections), the calculation gives -3.3252 eV/atom. The excess energy over the best structure of this formula in the dataset comes out at 22 meV/atom. The calculation puts the magnetization at 0.995 Bohr magnetons per cell. The density of states at the Fermi level is 0.01 states/eV/f.u. For the uncorrected formation energy, the calculation gives -0.1372 eV per atom.


(13)
Computed, not measured: crystalline NiAuCl2 at its relaxed geometry at the PBE level of DFT.

Geometry as extended XYZ:
```
4
Lattice="4.6507 0.0000 0.0000 0.0000 4.6507 0.0000 0.0000 0.0000 3.3326" Properties=species:S:1:pos:R:3 pbc="T T T"
Ni 0.0000 0.0000 0.0000
Au 2.3254 2.3254 0.0000
Cl 0.0000 2.3254 1.6663
Cl 2.3254 0.0000 1.6663
```

The volume is 18.020 Å³/atom. The symmetry is P4/mmm. For the total DFT energy (no corrections), the calculation gives -2.7705 eV/atom. The excess energy over the best structure of this formula in the dataset comes out at 577 meV/atom. The calculation puts the magnetization at 1.064 Bohr magnetons per cell. The density of states at the Fermi level is 4.15 states/eV/f.u. For the uncorrected formation energy, the calculation gives 0.4175 eV per atom.


(14)
Computed, not measured: crystalline Ni2AuCl at its relaxed geometry at the PBE level of DFT.

Geometry as extended XYZ:
```
4
Lattice="3.2059 0.0000 0.0000 0.0000 4.3439 0.0000 -0.0024 0.0000 4.3455" Properties=species:S:1:pos:R:3 pbc="T T T"
Ni 0.0000 0.0000 0.0000
Ni 0.0002 2.1719 2.1591
Au 1.6263 0.0000 2.1707
Cl 0.3511 2.1719 4.3332
```

The volume is 15.129 Å³/atom. The symmetry is Pm. For the total DFT energy (no corrections), the calculation gives -4.0019 eV/atom. The excess energy over the best structure of this formula in the dataset comes out at 46 meV/atom. The calculation puts the magnetization at 0.000 Bohr magnetons per cell. The density of states at the Fermi level is 3.54 states/eV/f.u. For the uncorrected formation energy, the calculation gives 0.1698 eV per atom.